1.
First-principles (PBE) data for a geometry-optimized Hf2IrRuI structure, as listed in the Alexandria database.

POSCAR file:
```
Hf2IrRuI
1.0
5.0735 0.0000 0.0000
0.0000 5.0735 0.0000
0.0000 0.0000 4.7763
Hf Ir Ru I
2 1 1 1
Direct
0.0000 0.5000 0.0000
0.5000 0.0000 0.0000
0.0000 0.0000 0.0000
0.0000 0.0000 0.5000
0.5000 0.5000 0.5000
```

Total DFT energy (no corrections), eV per atom: -7.297
Magnetic moment, μB per formula unit: 0.00
Crystal system: tetragonal



2.
First-principles (PBE) data for a geometry-optimized HfSb2IrI structure, as listed in the Alexandria database.

POSCAR file:
```
HfSb2IrI
1.0
5.1371 0.0000 0.0000
0.0000 5.1371 0.0000
0.0000 0.0000 5.3575
Hf Sb Ir I
1 2 1 1
Direct
0.0000 0.0000 0.0000
0.0000 0.5000 0.5000
0.5000 0.0000 0.5000
0.5000 0.5000 0.5000
0.5000 0.5000 0.0000
```

Total DFT energy (no corrections), eV per atom: -4.955
Magnetic moment, μB per formula unit: 0.00
Crystal system: tetragonal
Offset from the most stable computed form, eV/f.u.: 0.00



3.
First-principles (PBE) data for a geometry-optimized HfSb2IrI structure, as listed in the Alexandria database.

POSCAR file:
```
HfSb2IrI
1.0
5.5127 0.0000 0.0000
0.0000 5.5127 0.0000
0.0000 0.0000 5.3965
Hf Sb Ir I
1 2 1 1
Direct
0.0000 0.0000 0.0000
0.0000 0.5000 0.0000
0.5000 0.0000 0.0000
0.5000 0.5000 0.5000
0.0000 0.0000 0.5000
```

Total DFT energy (no corrections), eV per atom: -4.548
Magnetic moment, μB per formula unit: 1.91
Crystal system: tetragonal
Offset from the most stable computed form, eV/f.u.: 2.03



4.
First-principles (PBE) data for a geometry-optimized HfSiIrI2 structure, as listed in the Alexandria database.

POSCAR file:
```
HfSiIrI2
1.0
5.1513 0.0000 0.0000
0.0000 5.1513 0.0000
0.0000 0.0000 5.2384
Hf Si Ir I
1 1 1 2
Direct
0.0000 0.0000 0.0000
0.0000 0.0000 0.5000
0.5000 0.5000 0.0000
0.0000 0.5000 0.5000
0.5000 0.0000 0.5000
```

Total DFT energy (no corrections), eV per atom: -4.012
Magnetic moment, μB per formula unit: 0.99
Crystal system: tetragonal



5.
First-principles (PBE) data for a geometry-optimized HfTe2IrI structure, as listed in the Alexandria database.

POSCAR file:
```
HfTe2IrI
1.0
5.5351 0.0000 0.0000
0.0000 5.5351 0.0000
0.0000 0.0000 5.5658
Hf Te Ir I
1 2 1 1
Direct
0.0000 0.0000 0.0000
0.0000 0.5000 0.0000
0.5000 0.0000 0.0000
0.5000 0.5000 0.5000
0.0000 0.0000 0.5000
```

Total DFT energy (no corrections), eV per atom: -4.398
Magnetic moment, μB per formula unit: 2.79
Crystal system: tetragonal
Offset from the most stable computed form, eV/f.u.: 1.40



6.
First-principles (PBE) data for a geometry-optimized HfTeIrI2 structure, as listed in the Alexandria database.

POSCAR file:
```
HfTeIrI2
1.0
5.2470 0.0000 0.0000
0.0000 5.2470 0.0000
0.0000 0.0000 5.3032
Hf Te Ir I
1 1 1 2
Direct
0.0000 0.0000 0.0000
0.5000 0.5000 0.0000
0.5000 0.5000 0.5000
0.0000 0.5000 0.5000
0.5000 0.0000 0.5000
```

Total DFT energy (no corrections), eV per atom: -4.268
Magnetic moment, μB per formula unit: 0.00
Crystal system: tetragonal
Offset from the most stable computed form, eV/f.u.: 0.00



7.
First-principles (PBE) data for a geometry-optimized HfTeIrI2 structure, as listed in the Alexandria database.

POSCAR file:
```
HfTeIrI2
1.0
5.6403 0.0000 0.0000
0.0000 5.6403 0.0000
0.0000 0.0000 5.5560
Hf Te Ir I
1 1 1 2
Direct
0.0000 0.0000 0.0000
0.0000 0.0000 0.5000
0.5000 0.5000 0.5000
0.0000 0.5000 0.0000
0.5000 0.0000 0.0000
```

Total DFT energy (no corrections), eV per atom: -4.113
Magnetic moment, μB per formula unit: 3.06
Crystal system: tetragonal
Offset from the most stable computed form, eV/f.u.: 0.78



8.
First-principles (PBE) data for a geometry-optimized HfTe2IrI structure, as listed in the Alexandria database.

POSCAR file:
```
HfTe2IrI
1.0
5.2382 0.0000 0.0000
0.0000 5.2382 0.0000
0.0000 0.0000 5.1907
Hf Te Ir I
1 2 1 1
Direct
0.0000 0.0000 0.0000
0.0000 0.5000 0.5000
0.5000 0.0000 0.5000
0.5000 0.5000 0.5000
0.5000 0.5000 0.0000
```

Total DFT energy (no corrections), eV per atom: -4.678
Magnetic moment, μB per formula unit: 0.00
Crystal system: tetragonal
Offset from the most stable computed form, eV/f.u.: 0.00